# TbCu6Pd

TbCu6Pd after structural relaxation (PBE, Alexandria).

Computed properties:
Density of states at the Fermi level (states/eV/atom): 0.448
M_tot (μB/f.u.): 0.00
E_form (eV per atom): 0.003

Cell and atoms, written as extended XYZ:
```
8
Lattice="4.899 0.000 0.000 0.000 4.899 0.000 0.000 0.000 4.899" Properties=species:S:1:pos:R:3 pbc="T T T"
Tb 0.000 0.000 0.000
Cu 2.449 3.630 0.000
Cu 3.630 0.000 2.449
Cu 0.000 2.449 1.268
Cu 1.268 0.000 2.449
Cu 2.449 1.268 0.000
Cu 0.000 2.449 3.630
Pd 2.449 2.449 2.449
```